5
Lattice="4.685 0.000 0.000 0.000 4.685 0.000 0.000 0.000 4.685" Properties=species:S:1:pos:R:3 comment="PBE AlCu3Mo, optimized geometry" total_energy_ev_per_fu=-19.4 density_g_cm3=5.1 delta_e_f_ev_per_atom=1.4940 pbc="T T T"
Cu 0.000 2.343 0.000
Cu 0.000 0.000 2.343
Cu 2.343 0.000 0.000
Mo 0.000 0.000 0.000
Al 2.343 2.343 2.343